1.
Here is Tb2NdIn2Hg2 after structural relaxation from the Alexandria database. Energies are from PBE.

```
Tb2NdIn2Hg2
1.0
2.482 1.433 9.000
-2.482 1.433 9.000
0.000 -2.866 9.000
Tb Nd In Hg
2 1 2 2
direct
0.132 0.132 0.132 Tb
0.868 0.868 0.868 Tb
0.000 0.000 0.000 Nd
0.267 0.267 0.267 In
0.733 0.733 0.733 In
0.429 0.429 0.429 Hg
0.571 0.571 0.571 Hg
```

Energy relative to the elements   -304 meV/atom

2.
Here is Pr6Ni2GeI3 after structural relaxation from the Alexandria database. Energies are from PBE.

```
Pr6Ni2GeI3
1.0
3.696 -6.384 0.000
3.696 6.384 0.000
-2.465 0.000 7.953
Pr Ni Ge I
6 2 1 3
direct
0.087 0.435 0.808 Pr
0.215 0.215 0.191 Pr
0.435 0.087 0.808 Pr
0.565 0.913 0.192 Pr
0.785 0.785 0.809 Pr
0.913 0.565 0.192 Pr
0.167 0.833 0.000 Ni
0.833 0.167 0.000 Ni
0.500 0.500 0.000 Ge
0.000 0.000 0.500 I
0.339 0.661 0.500 I
0.661 0.339 0.500 I
```

Raw formation energy   -71 kJ per mole of atoms

3.
Here is Cd3P2 after structural relaxation from the Alexandria database. Energies are from PBE.

```
Cd3P2
1.0
0.000 10.700 1.337
7.709 0.000 1.337
7.709 10.700 0.000
Cd P
6 4
direct
0.000 0.000 0.000 Cd
0.057 0.538 0.798 Cd
0.250 0.250 0.250 Cd
0.452 0.643 0.193 Cd
0.538 0.057 0.607 Cd
0.643 0.452 0.712 Cd
0.048 0.232 0.086 P
0.164 0.616 0.202 P
0.232 0.048 0.634 P
0.616 0.164 0.018 P
```

Energy relative to the elements   337 meV/atom
Energy above the lowest structure with this stoichiometry   387 meV/atom

4.
Here is La2Pr8In after structural relaxation from the Alexandria database. Energies are from PBE.

```
La2Pr8In
1.0
9.371 -2.577 0.000
9.371 2.577 0.000
-2.154 0.000 7.926
La Pr In
2 8 1
direct
0.224 0.224 0.133 La
0.776 0.776 0.867 La
0.043 0.043 0.230 Pr
0.137 0.137 0.676 Pr
0.324 0.324 0.592 Pr
0.411 0.411 0.060 Pr
0.589 0.589 0.940 Pr
0.676 0.676 0.408 Pr
0.863 0.863 0.324 Pr
0.957 0.957 0.770 Pr
0.500 0.500 0.500 In
```

Energy relative to the elements   -66 meV/atom
Energy above the lowest structure with this stoichiometry   0 meV/atom

Number 1: total DFT energy (no corrections) -3.177 eV/atom. Number 2: total DFT energy (no corrections) -4.859 eV/atom. Number 3: total DFT energy (no corrections) -2.376 eV/atom. Number 4: total DFT energy (no corrections) -4.687 eV/atom.